Below is a geometry-optimized Rb2NbCrF6 structure, with properties calculated at the GGA+U level.

Properties
DOS at the Fermi energy ... 0.000 states/eV per atom
SG ... I4/mmm, No. 139
Raw total energy ... -55.3 eV per formula unit

Cell lengths 6.0772, 6.0772, 6.2797 Å; angles 61.06, 61.06, 90.00 degrees
Last column: magnetic moment on the atom in μB.
Element x y z (fractional)
Rb 0.7500 0.2500 0.5000  0.01
Rb 0.2500 0.7500 0.5000  0.01
F 0.2433 0.2433 0.5133  0.04
F 0.2624 0.7376 0.0000  0.02
F 0.7376 0.2624 0.0000  0.02
F 0.7376 0.7376 0.0000  0.02
F 0.7567 0.7567 0.4867  0.04
F 0.2624 0.2624 0.0000  0.02
Cr 0.5000 0.5000 0.0000  3.80
Nb 0.0000 0.0000 0.0000  2.47